The following is a DFT calculation (PBE) of crystalline Sr3GaPd at its relaxed geometry.

Geometry as POSCAR:
```
Sr3GaPd
1.0
5.849 0.000 0.000
0.000 5.849 0.000
0.000 0.000 5.849
Sr Ga Pd
3 1 1
Direct
0.000 0.500 0.000
0.000 0.000 0.500
0.500 0.000 0.000
0.500 0.500 0.500
0.000 0.000 0.000
```

Values from the calculation:
Symmetry ... No. 221
Formation energy ... -0.195 eV per atom
Crystal system ... cubic
Distance to the lowest polymorph of the same formula ... 0.0 meV/atom